# 1
This record from Alexandria via LeMat-Bulk describes crystalline TlFe3B at its relaxed geometry. The functional is GGA-PBE.

For the formation energy, the calculation gives 2.49 eV per atom. The volume comes out at 23.3 Å³/atom. The calculation puts the density of states at the Fermi level at 7.6 states/eV/f.u. Its crystal system is cubic.

The space group is Pm-3m (No. 221) and the conventional cell measures 4.8822, 4.8822 and 4.8822 Å, with angles of 90.00, 90.00 and 90.00 degrees. Symmetry generates all atoms from Tl at (0.0000, 0.0000, 0.0000), Fe at (0.0000, 0.0000, 0.5000) and B at (0.5000, 0.5000, 0.5000).


# 2
This record from Alexandria via LeMat-Bulk describes crystalline Tl2FeB at its relaxed geometry. The functional is GGA-PBE.

For the formation energy, the calculation gives 1.51 eV per atom. The volume comes out at 17.7 Å³/atom. The calculation puts the density of states at the Fermi level at 4.2 states/eV/f.u. Its crystal system is cubic.

The space group is Fm-3m (No. 225) and the conventional cell measures 6.5718, 6.5718 and 6.5718 Å, with angles of 90.00, 90.00 and 90.00 degrees. Symmetry generates all atoms from Tl at (0.2500, 0.2500, 0.2500), Fe at (0.0000, 0.0000, 0.0000) and B at (0.0000, 0.0000, 0.5000).


# 3
This record from Alexandria via LeMat-Bulk describes crystalline Tl2FeB at its relaxed geometry. The functional is GGA-PBE.

For the formation energy, the calculation gives 1.46 eV per atom. The volume comes out at 18.5 Å³/atom. The calculation puts the density of states at the Fermi level at 8.1 states/eV/f.u. Its crystal system is tetragonal.

The space group is I-42d (No. 122) and the conventional cell measures 6.8777, 6.8777 and 6.2564 Å, with angles of 90.00, 90.00 and 90.00 degrees. Symmetry generates all atoms from Tl at (0.2187, 0.2500, 0.1250), Fe at (0.0000, 0.0000, 0.5000) and B at (0.0000, 0.0000, 0.0000).


# 4
This record from Alexandria via LeMat-Bulk describes crystalline Y2TlFeB at its relaxed geometry. The functional is GGA-PBE.

For the formation energy, the calculation gives -0.20 eV per atom. The volume comes out at 20.6 Å³/atom. The calculation puts the density of states at the Fermi level at 2.9 states/eV/f.u. Its crystal system is tetragonal.

The space group is P4/mmm (No. 123) and the conventional cell measures 5.1468, 5.1468 and 3.8799 Å, with angles of 90.00, 90.00 and 90.00 degrees. Symmetry generates all atoms from Y at (0.0000, 0.5000, 0.0000), Tl at (0.0000, 0.0000, 0.5000), Fe at (0.5000, 0.5000, 0.5000) and B at (0.5000, 0.5000, 0.0000).